[1]
# VPRuCl2 | the Alexandria database | PBE-GGA | relaxed
data_VPRuCl2
_chemical_formula_sum 'V1 P1 Ru1 Cl2'
_cell_length_a 4.484
_cell_length_b 4.484
_cell_length_c 4.928
_cell_angle_alpha 90.00
_cell_angle_beta 90.00
_cell_angle_gamma 90.00
_symmetry_space_group_name_H-M 'P 4/m m m'
_symmetry_Int_Tables_number 123
_symmetry_space_group_name_Hall '-P 4 2'
loop_
_atom_site_label
_atom_site_type_symbol
_atom_site_fract_x
_atom_site_fract_y
_atom_site_fract_z
V1 V 0.000 0.000 0.000
P1 P 0.000 0.000 0.500
Ru1 Ru 0.500 0.500 0.500
Cl1 Cl 0.000 0.500 0.000
# Energy relative to the elements, uncorrected (eV per formula unit): 3.0


[2]
# ReHg2Rh | the Alexandria database | PBE-GGA | relaxed
data_ReHg2Rh
_chemical_formula_sum 'Re2 Hg4 Rh2'
_cell_length_a 5.881
_cell_length_b 8.315
_cell_length_c 2.854
_cell_angle_alpha 90.00
_cell_angle_beta 90.00
_cell_angle_gamma 90.00
_symmetry_space_group_name_H-M 'C m m m'
_symmetry_Int_Tables_number 65
_symmetry_space_group_name_Hall '-C 2 2'
loop_
_atom_site_label
_atom_site_type_symbol
_atom_site_fract_x
_atom_site_fract_y
_atom_site_fract_z
Re1 Re 0.000 0.000 0.000
Hg1 Hg 0.250 0.250 0.500
Rh1 Rh 0.000 0.500 0.000
# Energy of formation from the pure elements (eV/atom): 0.732


[3]
# Ac2Sm3Dy | the Alexandria database | PBE-GGA | relaxed
data_Ac2Sm3Dy
_chemical_formula_sum 'Ac8 Sm12 Dy4'
_cell_length_a 20.110
_cell_length_b 5.830
_cell_length_c 8.430
_cell_angle_alpha 90.00
_cell_angle_beta 107.76
_cell_angle_gamma 90.00
_symmetry_space_group_name_H-M 'C 1 2/m 1'
_symmetry_Int_Tables_number 12
_symmetry_space_group_name_Hall '-C 2y'
loop_
_atom_site_label
_atom_site_type_symbol
_atom_site_fract_x
_atom_site_fract_y
_atom_site_fract_z
Ac1 Ac 0.117 0.000 0.079
Ac2 Ac 0.174 0.500 0.431
Sm1 Sm 0.038 0.500 0.737
Sm2 Sm 0.151 0.000 0.703
Sm3 Sm 0.206 0.500 0.949
Dy1 Dy 0.029 0.000 0.352
# Energy of formation from the pure elements (eV/atom): 0.237


[4]
# ZnTeMo2 | the Alexandria database | PBE-GGA | relaxed
data_ZnTeMo2
_chemical_formula_sum 'Zn1 Te1 Mo2'
_cell_length_a 3.362
_cell_length_b 3.362
_cell_length_c 6.078
_cell_angle_alpha 90.00
_cell_angle_beta 90.00
_cell_angle_gamma 90.00
_symmetry_space_group_name_H-M 'P 4/m m m'
_symmetry_Int_Tables_number 123
_symmetry_space_group_name_Hall '-P 4 2'
loop_
_atom_site_label
_atom_site_type_symbol
_atom_site_fract_x
_atom_site_fract_y
_atom_site_fract_z
Zn1 Zn 0.000 0.000 0.000
Te1 Te 0.000 0.000 0.500
Mo1 Mo 0.500 0.500 0.212
# Energy relative to the elements, uncorrected (eV per formula unit): 1.6


[5]
# Fe3Re | the Alexandria database | PBE-GGA | relaxed
data_Fe3Re
_chemical_formula_sum 'Fe6 Re2'
_cell_length_a 8.537
_cell_length_b 2.621
_cell_length_c 4.420
_cell_angle_alpha 90.00
_cell_angle_beta 100.88
_cell_angle_gamma 90.00
_symmetry_space_group_name_H-M 'C 1 2/m 1'
_symmetry_Int_Tables_number 12
_symmetry_space_group_name_Hall '-C 2y'
loop_
_atom_site_label
_atom_site_type_symbol
_atom_site_fract_x
_atom_site_fract_y
_atom_site_fract_z
Fe1 Fe 0.000 0.000 0.000
Fe2 Fe 0.246 0.500 0.244
Re1 Re 0.000 0.500 0.500
# Energy of formation from the pure elements (eV/atom): 0.133


| no. | magnetization (μB per cell) |
| --- | --- |
| 1 | 3.1 |
| 2 | 0.9 |
| 3 | 0.0 |
| 4 | 0.0 |
| 5 | 9.9 |